Here is crystalline Pm2SO6 at its relaxed geometry from Alexandria. Energies are from GGA-PBE.

```
Pm2SO6
1.0
5.3313 0.0562 0.0000
-0.0135 7.4193 0.0000
0.0000 0.0000 5.1849
O S Pm
12 2 4
Direct
0.7218 0.9714 0.7273
0.4463 0.7763 0.5001
0.0537 0.7237 0.0001
0.2218 0.4714 0.7727
0.9463 0.2763 0.9999
0.2782 0.0286 0.2727
0.7194 0.9715 0.2702
0.7782 0.5286 0.2273
0.7806 0.5285 0.7702
0.2194 0.4715 0.2298
0.5537 0.2237 0.4999
0.2806 0.0285 0.7298
0.0000 0.5000 0.0000
0.5000 0.0000 0.5000
0.4989 0.2512 0.0015
0.5011 0.7488 0.9986
0.0011 0.2488 0.5014
0.9989 0.7512 0.4985
```

Calculated values
The calculation puts the density of states at the Fermi level at 0.0 states/eV/cell. The value obtained for the total moment is 0.000 μB/atom.


Here is crystalline Pm2SO at its relaxed geometry from Alexandria. Energies are from GGA-PBE.

```
Pm2SO
1.0
-0.6051 0.4459 -4.0256
-0.0711 -3.2905 -2.4368
-7.5670 -1.5569 -1.1180
O S Pm
1 1 2
Direct
0.0000 0.0000 0.0000
0.5000 0.5000 0.5000
0.0941 0.0941 0.7177
0.9059 0.9059 0.2823
```

Calculated values
The calculation puts the density of states at the Fermi level at 1.5 states/eV/cell. The value obtained for the total moment is 0.000 μB/atom.


Here is crystalline Pm6SO8 at its relaxed geometry from Alexandria. Energies are from GGA-PBE.

```
Pm6SO8
1.0
6.7081 0.0000 0.0000
3.3541 5.8094 0.0000
3.3541 1.9365 6.3105
Pm O S
6 8 1
Direct
0.2552 0.5643 0.2616
0.4357 0.0811 0.7384
0.0811 0.7448 0.7384
0.9189 0.2552 0.2616
0.5643 0.9189 0.2616
0.7448 0.4357 0.7384
0.1258 0.4439 0.6382
0.6718 0.6718 0.9847
0.4439 0.7921 0.6382
0.3282 0.3282 0.0153
0.7921 0.1258 0.6382
0.8742 0.5561 0.3618
0.5561 0.2079 0.3618
0.2079 0.8742 0.3618
0.0000 0.0000 0.0000
```

Calculated values
The calculation puts the density of states at the Fermi level at 0.0 states/eV/cell. The value obtained for the total moment is 0.000 μB/atom.


Here is crystalline PmS2O6 at its relaxed geometry from Alexandria. Energies are from GGA-PBE.

```
PmS2O6
1.0
5.5482 0.0000 0.0000
2.7741 4.8049 0.0000
2.7741 1.6016 6.6296
O Pm S
6 1 2
Direct
0.4316 0.8842 0.2567
0.6022 0.5991 0.7438
0.4275 0.4316 0.2567
0.0550 0.6022 0.7438
0.5991 0.0550 0.7438
0.8842 0.4275 0.2567
0.3332 0.3332 0.0003
0.7302 0.7302 0.8095
0.6028 0.6028 0.1917
```

Calculated values
The calculation puts the density of states at the Fermi level at 1.7 states/eV/cell. The value obtained for the total moment is 0.112 μB/atom.


Asked for raw formation energy across the records above, the calculation gives -2379.5, -1996.5, -3243.9, -1594.3 meV/atom in order.